Crystalline LiAcCeSe3 at its relaxed geometry. Source: Alexandria via LeMat-Bulk, functional PBE.

Calculated values
- total DFT energy (no corrections) (eV/atom) = -5.44
- space group = P2_1/m, No. 11
- density (g/cm3) = 6.1
- E_form (uncorrected) (eV/atom) = -1.702
- density of states at the Fermi level (states/eV per cell) = 13.89

Lattice parameters (Å, degrees): 8.861 4.189 9.162 90.00 103.26 90.00
Positions (direct):
Li 0.087 0.250 0.088
Li 0.913 0.750 0.912
Ac 0.181 0.250 0.726
Ac 0.819 0.750 0.274
Ce 0.342 0.750 0.341
Ce 0.658 0.250 0.659
Se 0.101 0.250 0.367
Se 0.207 0.750 0.003
Se 0.426 0.750 0.679
Se 0.574 0.250 0.321
Se 0.793 0.250 0.997
Se 0.899 0.750 0.633

Crystalline GaSbPb2 at its relaxed geometry. Source: Alexandria via LeMat-Bulk, functional PBE.

Calculated values
- excess energy over the best structure of this formula in the dataset (meV per atom) = 76.2
- total DFT energy (no corrections) (eV/atom) = -3.51
- space group = I-42d, No. 122
- density (g/cm3) = 6.8
- E_form (uncorrected) (eV/atom) = 0.134
- density of states at the Fermi level (states/eV per cell) = 1.47

Lattice parameters (Å, degrees): 6.644 6.644 13.407 90.00 90.00 90.00
Positions (direct):
Ga 0.000 0.000 0.000
Ga 0.000 0.500 0.250
Ga 0.500 0.000 0.750
Ga 0.500 0.500 0.500
Sb 0.000 0.000 0.500
Sb 0.000 0.500 0.750
Sb 0.500 0.000 0.250
Sb 0.500 0.500 0.000
Pb 0.222 0.250 0.125
Pb 0.250 0.722 0.375
Pb 0.250 0.778 0.875
Pb 0.278 0.250 0.625
Pb 0.722 0.750 0.625
Pb 0.750 0.222 0.875
Pb 0.750 0.278 0.375
Pb 0.778 0.750 0.125

Crystalline HfAl2RhN at its relaxed geometry. Source: Alexandria via LeMat-Bulk, functional PBE.

Calculated values
- total DFT energy (no corrections) (eV/atom) = -4.58
- space group = P4/mmm, No. 123
- density (g/cm3) = 4.5
- E_form (uncorrected) (eV/atom) = 2.045
- density of states at the Fermi level (states/eV per cell) = 2.73

Lattice parameters (Å, degrees): 5.294 5.294 4.639 90.00 90.00 90.00
Positions (direct):
Hf 0.000 0.000 0.000
Al 0.000 0.500 0.000
Al 0.500 0.000 0.000
Rh 0.000 0.000 0.500
N 0.500 0.500 0.500

Crystalline PmEuThCd at its relaxed geometry. Source: Alexandria via LeMat-Bulk, functional PBE.

Calculated values
- total DFT energy (no corrections) (eV/atom) = -5.72
- energy of formation from the pure elements (eV per atom) = 0.122
- space group = F-43m, No. 216
- density (g/cm3) = 8.5
- density of states at the Fermi level (states/eV per cell) = 25.14

Lattice parameters (Å, degrees): 7.948 7.948 7.948 90.00 90.00 90.00
Positions (direct):
Pm 0.000 0.000 0.000
Pm 0.000 0.500 0.500
Pm 0.500 0.000 0.500
Pm 0.500 0.500 0.000
Eu 0.250 0.250 0.250
Eu 0.250 0.750 0.750
Eu 0.750 0.250 0.750
Eu 0.750 0.750 0.250
Th 0.250 0.250 0.750
Th 0.250 0.750 0.250
Th 0.750 0.250 0.250
Th 0.750 0.750 0.750
Cd 0.000 0.000 0.500
Cd 0.000 0.500 0.000
Cd 0.500 0.000 0.000
Cd 0.500 0.500 0.500

Crystalline Tb12Sm2Th5 at its relaxed geometry. Source: Alexandria via LeMat-Bulk, functional PBE.

Calculated values
- total DFT energy (no corrections) (eV/atom) = -5.16
- energy of formation from the pure elements (eV per atom) = 0.213
- space group = C2/m, No. 12
- density (g/cm3) = 9.0
- density of states at the Fermi level (states/eV per cell) = 30.48

Lattice parameters (Å, degrees): 9.959 9.959 10.345 111.14 111.14 41.25
Positions (direct):
Tb 0.003 0.003 0.329
Tb 0.080 0.583 0.476
Tb 0.096 0.589 0.136
Tb 0.411 0.904 0.864
Tb 0.417 0.920 0.524
Tb 0.466 0.466 0.755
Tb 0.534 0.534 0.245
Tb 0.583 0.080 0.476
Tb 0.589 0.096 0.136
Tb 0.904 0.411 0.864
Tb 0.920 0.417 0.524
Tb 0.997 0.997 0.671
Sm 0.219 0.781 0.000
Sm 0.781 0.219 0.000
Th 0.178 0.178 0.210
Th 0.313 0.313 0.825
Th 0.500 0.500 0.500
Th 0.687 0.687 0.175
Th 0.822 0.822 0.790

Crystalline Ca2TbHg4Pb at its relaxed geometry. Source: Alexandria via LeMat-Bulk, functional PBE.

Calculated values
- total DFT energy (no corrections) (eV/atom) = -2.15
- energy of formation from the pure elements (eV per atom) = -0.452
- space group = R-3m, No. 166
- density (g/cm3) = 9.7
- density of states at the Fermi level (states/eV per cell) = 4.26

Lattice parameters (Å, degrees): 9.364 9.364 9.364 32.84 32.84 32.84
Positions (direct):
Ca 0.243 0.243 0.243
Ca 0.757 0.757 0.757
Tb 0.000 0.000 0.000
Hg 0.117 0.117 0.117
Hg 0.363 0.363 0.363
Hg 0.637 0.637 0.637
Hg 0.883 0.883 0.883
Pb 0.500 0.500 0.500

Crystalline Er2BeAl4Au3 at its relaxed geometry. Source: Alexandria via LeMat-Bulk, functional PBE.

Calculated values
- total DFT energy (no corrections) (eV/atom) = -4.34
- energy of formation from the pure elements (eV per atom) = -0.571
- space group = P-4m2, No. 115
- density (g/cm3) = 9.2
- density of states at the Fermi level (states/eV per cell) = 4.88

Lattice parameters (Å, degrees): 4.136 4.136 10.996 90.00 90.00 90.00
Positions (direct):
Er 0.000 0.500 0.238
Er 0.500 0.000 0.762
Be 0.500 0.500 0.000
Al 0.000 0.000 0.500
Al 0.000 0.500 0.871
Al 0.500 0.000 0.129
Al 0.500 0.500 0.500
Au 0.000 0.000 0.000
Au 0.000 0.500 0.644
Au 0.500 0.000 0.356

Crystalline TbDyCuAg at its relaxed geometry. Source: Alexandria via LeMat-Bulk, functional PBE.

Calculated values
- excess energy over the best structure of this formula in the dataset (meV per atom) = 0.0
- total DFT energy (no corrections) (eV/atom) = -4.32
- energy of formation from the pure elements (eV per atom) = -0.280
- space group = P4mm, No. 99
- density (g/cm3) = 9.1
- density of states at the Fermi level (states/eV per cell) = 2.35

Lattice parameters (Å, degrees): 3.553 3.553 7.156 90.00 90.00 90.00
Positions (direct):
Tb 0.000 0.000 0.000
Dy 0.000 0.000 0.528
Cu 0.500 0.500 0.760
Ag 0.500 0.500 0.267

Crystalline Pm6NdSn2 at its relaxed geometry. Source: Alexandria via LeMat-Bulk, functional PBE.

Calculated values
- total DFT energy (no corrections) (eV/atom) = -4.60
- energy of formation from the pure elements (eV per atom) = -0.015
- space group = C2/m, No. 12
- density (g/cm3) = 7.2
- density of states at the Fermi level (states/eV per cell) = 9.38

Lattice parameters (Å, degrees): 7.824 7.824 5.422 90.07 90.07 59.86
Positions (direct):
Pm 0.110 0.695 0.766
Pm 0.305 0.305 0.235
Pm 0.305 0.890 0.234
Pm 0.695 0.110 0.766
Pm 0.695 0.695 0.765
Pm 0.890 0.305 0.234
Nd 0.500 0.500 0.500
Sn 0.167 0.167 0.731
Sn 0.833 0.833 0.269

Crystalline Rb2TaAsF6 at its relaxed geometry. Source: Alexandria via LeMat-Bulk, functional PBE.

Calculated values
- total DFT energy (no corrections) (eV/atom) = -5.34
- space group = I4/mmm, No. 139
- density (g/cm3) = 3.4
- E_form (uncorrected) (eV/atom) = -2.369
- density of states at the Fermi level (states/eV per cell) = 0.73

Lattice parameters (Å, degrees): 7.329 7.329 7.329 122.30 122.30 86.05
Positions (direct):
Rb 0.250 0.750 0.500
Rb 0.750 0.250 0.500
Ta 0.000 0.000 0.000
As 0.500 0.500 0.000
F 0.181 0.181 0.000
F 0.193 0.193 0.386
F 0.193 0.807 0.000
F 0.807 0.193 0.000
F 0.807 0.807 0.614
F 0.819 0.819 0.000

Crystalline Cs2Tl2HgSe4 at its relaxed geometry. Source: Alexandria via LeMat-Bulk, functional PBE.

Calculated values
- total DFT energy (no corrections) (eV/atom) = -2.92
- space group = P-1, No. 2
- density (g/cm3) = 5.7
- E_form (uncorrected) (eV/atom) = -0.619

Lattice parameters (Å, degrees): 6.374 7.176 8.479 70.82 89.48 72.42
Positions (direct):
Cs 0.197 0.216 0.387
Cs 0.803 0.784 0.613
Tl 0.361 0.341 0.864
Tl 0.639 0.659 0.136
Hg 0.000 0.000 0.000
Se 0.279 0.847 0.834
Se 0.350 0.647 0.413
Se 0.650 0.353 0.587
Se 0.721 0.153 0.166

Crystalline TlVPbS4 at its relaxed geometry. Source: Alexandria via LeMat-Bulk, functional PBE.

Calculated values
- total DFT energy (no corrections) (eV/atom) = -5.11
- space group = Cmcm, No. 63
- density (g/cm3) = 4.6
- E_form (uncorrected) (eV/atom) = -0.584

Lattice parameters (Å, degrees): 7.118 7.118 9.112 90.00 90.00 112.64
Positions (direct):
Tl 0.000 0.000 0.000
Tl 0.000 0.000 0.500
V 0.369 0.631 0.750
V 0.631 0.369 0.250
Pb 0.344 0.656 0.250
Pb 0.656 0.344 0.750
S 0.259 0.297 0.750
S 0.264 0.736 0.560
S 0.264 0.736 0.940
S 0.297 0.259 0.250
S 0.703 0.741 0.750
S 0.736 0.264 0.060
S 0.736 0.264 0.440
S 0.741 0.703 0.250